This record from Alexandria describes crystalline ZrSiB3 at its relaxed geometry. The functional is PBE.

Computed properties:
Volume (A^3/atom): 11.91
Energy relative to the elements, uncorrected (eV per atom): 0.853
Energy (eV for the cell shown): -29.736
Total magnetization (μB/f.u.): 0.00

a b c (Å): 3.905 3.905 3.905
angles (deg): 90.00 90.00 90.00
Sites, in units of the cell vectors:
Zr: 0.000 0.000 0.000
Si: 0.500 0.500 0.500
B: 0.000 0.500 0.500
B: 0.500 0.000 0.500
B: 0.500 0.500 0.000